(1)
La3Ce3In5, relaxed, DFT PBE-GGA; DFT formation energy = 211 meV per atom; space group = No. 189; DFT total energy = -0.2937 Ry per atom
1.0
9.2468 0.0000 0.0000
-4.6234 8.0080 0.0000
0.0000 0.0000 5.2215
La Ce In
3 3 5
direct
0.0000 0.5684 0.0000
0.4316 0.4316 0.0000
0.5684 0.0000 0.0000
0.0000 0.8201 0.5000
0.1799 0.1799 0.5000
0.8201 0.0000 0.5000
0.0000 0.3846 0.5000
0.3333 0.6667 0.5000
0.3846 0.0000 0.5000
0.6154 0.6154 0.5000
0.6667 0.3333 0.5000



(2)
PWS2Cl, relaxed, DFT PBE-GGA; space group = No. 123; DFT total energy = -0.3794 Ry per atom; offset from the most stable computed form = 0.3292 eV per atom; formation energy from raw total energies = 531 meV/atom
1.0
4.7035 0.0000 0.0000
0.0000 4.7035 0.0000
0.0000 0.0000 4.8147
P W S Cl
1 1 2 1
direct
0.0000 0.0000 0.0000
0.5000 0.5000 0.5000
0.0000 0.5000 0.5000
0.5000 0.0000 0.5000
0.5000 0.5000 0.0000



(3)
AcCu4Pd3O12, relaxed, DFT PBE-GGA; space group = No. 204; DFT total energy = -0.4072 Ry per atom; formation energy from raw total energies = -762 meV/atom
1.0
-3.7825 3.7825 3.7825
3.7825 -3.7825 3.7825
3.7825 3.7825 -3.7825
Ac Cu Pd O
1 4 3 12
direct
0.0000 0.0000 0.0000
0.0000 0.0000 0.5000
0.0000 0.5000 0.0000
0.5000 0.0000 0.0000
0.5000 0.5000 0.5000
0.0000 0.5000 0.5000
0.5000 0.0000 0.5000
0.5000 0.5000 0.0000
0.1261 0.8188 0.3073
0.1812 0.3073 0.4884
0.1812 0.6927 0.8739
0.3073 0.1261 0.8188
0.3073 0.4884 0.1812
0.4884 0.1812 0.3073
0.5116 0.8188 0.6927
0.6927 0.5116 0.8188
0.6927 0.8739 0.1812
0.8188 0.3073 0.1261
0.8188 0.6927 0.5116
0.8739 0.1812 0.6927



(4)
Pr9Er4Hg11, relaxed, DFT PBE-GGA; DFT formation energy = -385 meV per atom; space group = No. 65; DFT total energy = -0.2261 Ry per atom
1.0
7.9722 -11.7742 0.0000
7.9722 11.7742 0.0000
0.0000 0.0000 3.5868
Pr Er Hg
9 4 11
direct
0.0000 0.0000 0.0000
0.1337 0.6420 0.0000
0.2913 0.4516 0.0000
0.3580 0.8663 0.0000
0.4516 0.2913 0.0000
0.5484 0.7087 0.0000
0.6420 0.1337 0.0000
0.7087 0.5484 0.0000
0.8663 0.3580 0.0000
0.0520 0.2463 0.0000
0.2463 0.0520 0.0000
0.7537 0.9480 0.0000
0.9480 0.7537 0.0000
0.0828 0.4362 0.5000
0.1380 0.8620 0.5000
0.2178 0.2178 0.5000
0.3382 0.6618 0.5000
0.4362 0.0828 0.5000
0.5000 0.5000 0.5000
0.5638 0.9172 0.5000
0.6618 0.3382 0.5000
0.7822 0.7822 0.5000
0.8620 0.1380 0.5000
0.9172 0.5638 0.5000



(5)
AsC2, relaxed, DFT PBE-GGA; DFT formation energy = 1865 meV per atom; space group = No. 71; DFT total energy = -0.4288 Ry per atom; offset from the most stable computed form = 1.5138 eV per atom
1.0
3.0998 0.0000 0.0000
0.0000 4.6362 0.0000
0.0000 0.0000 5.7553
As C
2 4
direct
0.0000 0.0000 0.0000
0.5000 0.5000 0.5000
0.0000 0.0000 0.3893
0.0000 0.0000 0.6107
0.5000 0.5000 0.1107
0.5000 0.5000 0.8893



(6)
SmHoZnCo, relaxed, DFT PBE-GGA; DFT formation energy = -206 meV per atom; space group = No. 38; DFT total energy = -0.3400 Ry per atom; offset from the most stable computed form = 0.0000 eV per atom
1.0
4.2760 0.0000 0.0000
0.0000 3.8974 0.0000
0.0000 0.0000 10.5735
Sm Ho Zn Co
2 2 2 2
direct
0.0000 0.0000 0.0000
0.0000 0.5000 0.5000
0.5000 0.0000 0.7177
0.5000 0.5000 0.2177
0.5000 0.0000 0.4213
0.5000 0.5000 0.9213
0.0000 0.0000 0.2918
0.0000 0.5000 0.7918